# LiIn3Pb, relaxed, DFT PBE-GGA
data_LiIn3Pb
_cell_length_a 5.9167
_cell_length_b 11.2641
_cell_length_c 7.8718
_cell_angle_alpha 90.00
_cell_angle_beta 90.00
_cell_angle_gamma 90.00
_space_group_name_H-M_alt 'P n m a'
_space_group_IT_number 62
loop_
_space_group_symop_operation_xyz
'x,y,z'
'-x,-y,-z'
'-x+1/2,-y,z+1/2'
'x+1/2,y,-z+1/2'
'x+1/2,-y+1/2,-z+1/2'
'-x+1/2,y+1/2,z+1/2'
'-x,y+1/2,-z'
'x,-y+1/2,z'
loop_
_atom_site_label
_atom_site_type_symbol
_atom_site_fract_x
_atom_site_fract_y
_atom_site_fract_z
Li1 Li 0.0080 0.2500 0.0819
In1 In 0.0002 0.1133 0.3935
In2 In 0.2482 0.7500 0.2460
Pb1 Pb 0.0000 0.0000 0.0000
# Density of states at the Fermi level: 0.379 states/eV/atom
# Total DFT energy (no corrections): -56.22 eV per cell
# Calculated formation energy: -4 kJ/mol of atoms